# LiSbH (PBE, relaxed)
data_LiSbH
_chemical_formula_sum 'Li2 Sb2 H2'
_symmetry_space_group_name_H-M 'P 1'
_symmetry_Int_Tables_number 1
_symmetry_space_group_name_Hall 'P 1'
_cell_length_a 4.2900
_cell_length_b 4.3485
_cell_length_c 5.2498
_cell_angle_alpha 99.14
_cell_angle_beta 90.01
_cell_angle_gamma 90.01
loop_
_atom_site_label
_atom_site_fract_x
_atom_site_fract_y
_atom_site_fract_z
Li1 0.0000 0.0000 0.0000
Li2 0.5000 0.4991 0.0021
Sb1 0.4979 0.9984 0.5011
Sb2 0.9979 0.4982 0.5017
H1 0.4988 0.9988 0.0000
H2 0.9987 0.4989 0.0018
# Total magnetization, μB per cell: 0.00
# Crystal system: triclinic
# Space group: No. 1
# Uncorrected energy, eV for the cell shown: -18.916
# Offset from the most stable computed form, meV per atom: 39